The following is a DFT calculation (PBE-GGA) of an optimized crystal structure of Pm6DyIn4.

Geometry as extended XYZ:
```
11
Lattice="3.687 0.000 0.000 0.000 10.402 0.000 0.000 -5.201 9.009" Properties=species:S:1:pos:R:3 pbc="T T T"
Pm 0.000 5.201 0.717
Pm 1.844 2.227 7.292
Pm 0.000 3.221 4.146
Pm 0.000 7.181 4.146
Pm 1.844 -2.227 7.292
Pm 1.844 0.000 3.434
Dy 0.000 0.000 0.000
In 1.844 5.201 6.176
In 1.844 2.453 1.416
In 1.844 7.949 1.416
In 0.000 0.000 6.006
```

Computed properties:
SG: No. 187
E_tot: -4.284 eV per atom
Energy of formation: -0.2784 eV/atom
D(E_F): 12.89 states/eV/f.u.

***

The following is a DFT calculation (PBE-GGA) of an optimized crystal structure of CsNa2CdPb.

Geometry as extended XYZ:
```
5
Lattice="-3.858 4.626 1.014 -3.898 -2.359 -4.069 -2.672 -3.194 4.411" Properties=species:S:1:pos:R:3 pbc="T T T"
Pb 0.000 0.000 0.000
Cs -5.214 -0.463 0.678
Na -1.949 -1.179 -2.034
Na -1.929 2.313 0.507
Cd -1.336 -1.597 2.205
```

Computed properties:
SG: No. 123
Energy above the lowest structure with this stoichiometry: 0.00 kJ/mol of atoms
E_tot: -1.673 eV per atom
Energy of formation: -0.0499 eV/atom
D(E_F): 2.84 states/eV/f.u.

***

The following is a DFT calculation (PBE-GGA) of an optimized crystal structure of Pb3W.

Geometry as extended XYZ:
```
16
Lattice="-0.910 -6.536 1.136 1.217 2.181 -6.213 10.674 -1.196 1.670" Properties=species:S:1:pos:R:3 pbc="T T T"
Pb -0.455 -3.268 0.568
Pb 4.882 -3.866 1.403
Pb 0.608 1.090 -3.106
Pb 0.153 -2.178 -2.538
Pb 5.490 -2.775 -1.703
Pb 5.945 0.492 -2.271
Pb 2.733 -4.309 -2.867
Pb 8.247 -1.242 -0.539
Pb 2.573 -2.028 -0.208
Pb 2.096 -5.451 0.387
Pb 8.884 -0.100 -3.794
Pb 8.408 -3.523 -3.198
W 0.000 0.000 0.000
W 5.337 -0.598 0.835
W 3.176 -1.024 -3.346
W 7.804 -4.527 -0.061
```

Computed properties:
SG: No. 194
Energy above the lowest structure with this stoichiometry: 57.97 kJ/mol of atoms
E_tot: -4.961 eV per atom
Energy of formation: 1.0587 eV/atom
D(E_F): 3.03 states/eV/f.u.